Arrangement w

First-principles (PBE) data for VGaBr after structural relaxation, as listed in the Alexandria database.

Unit cell a=3.083 b=5.016 c=9.062 alpha=105.67 beta=94.37 gamma=99.85
Space group P-1 (No. 2)
One atom of each set of equivalent atoms:
V: 0.088 0.401 0.098
Ga: 0.464 0.060 0.873
Br: 0.291 0.352 0.674

DOS(E_F)	0.8	states/eV/cell
M_tot	0.00	μB per formula unit

=====

Arrangement x

First-principles (PBE) data for VGaBr after structural relaxation, as listed in the Alexandria database.

Unit cell a=19.230 b=3.970 c=3.668 alpha=90.00 beta=90.19 gamma=90.00
Space group C2/m (No. 12)
One atom of each set of equivalent atoms:
V: 0.045 0.000 0.251
Ga: 0.050 0.500 0.751
Br: 0.169 0.000 0.252

DOS(E_F)	9.4	states/eV/cell
M_tot	0.00	μB per formula unit

=====

Arrangement y

First-principles (PBE) data for VGaBr after structural relaxation, as listed in the Alexandria database.

Unit cell a=3.689 b=3.841 c=9.314 alpha=90.00 beta=90.00 gamma=90.00
Space group Pmm2 (No. 25)
One atom of each set of equivalent atoms:
V: 0.000 0.000 0.000
V: 0.500 0.000 0.195
Ga: 0.000 0.500 0.218
Ga: 0.500 0.500 0.012
Br: 0.000 0.500 0.785
Br: 0.500 0.000 0.454

DOS(E_F)	3.2	states/eV/cell
M_tot	0.00	μB per formula unit

=====

It is arrangement w that is the least stable of them.